Below is crystalline SrCr2Pt at its relaxed geometry, with properties calculated at the PBE-GGA level.

a b c (Å): 6.410 6.410 6.410
angles (deg): 90.00 90.00 90.00
Fractional positions:
Sr: 0.000 0.000 0.000
Sr: 0.000 0.500 0.500
Sr: 0.500 0.000 0.500
Sr: 0.500 0.500 0.000
Cr: 0.250 0.250 0.250
Cr: 0.250 0.250 0.750
Cr: 0.250 0.750 0.250
Cr: 0.250 0.750 0.750
Cr: 0.750 0.250 0.250
Cr: 0.750 0.250 0.750
Cr: 0.750 0.750 0.250
Cr: 0.750 0.750 0.750
Pt: 0.000 0.000 0.500
Pt: 0.000 0.500 0.000
Pt: 0.500 0.000 0.000
Pt: 0.500 0.500 0.500

The value obtained for the total magnetization is 0.0 Bohr magnetons per cell. As for the raw total energy: -5.79 eV per atom. Its symmetry is Fm-3m. The calculated formation energy comes out at 0.952 eV per atom. The calculation puts the density of states at the Fermi level at 1.441 states/eV/atom.

Below is crystalline MnAlTc2 at its relaxed geometry, with properties calculated at the PBE-GGA level.

a b c (Å): 3.208 4.171 4.199
angles (deg): 90.00 90.00 90.00
Fractional positions:
Mn: 0.000 0.000 0.000
Al: 0.500 0.000 0.500
Tc: 0.000 0.500 0.500
Tc: 0.500 0.500 0.000

The value obtained for the total magnetization is 2.7 Bohr magnetons per cell. As for the raw total energy: -8.49 eV per atom. Its symmetry is Pmmm. The calculated formation energy comes out at -0.081 eV per atom. The calculation puts the density of states at the Fermi level at 0.909 states/eV/atom.

Below is crystalline CrGaH at its relaxed geometry, with properties calculated at the PBE-GGA level.

a b c (Å): 6.648 4.407 5.001
angles (deg): 90.00 111.68 90.00
Fractional positions:
Cr: 0.160 0.250 0.328
Cr: 0.160 0.250 0.828
Cr: 0.840 0.750 0.172
Cr: 0.840 0.750 0.672
Ga: 0.222 0.750 0.109
Ga: 0.222 0.750 0.609
Ga: 0.778 0.250 0.391
Ga: 0.778 0.250 0.891
H: 0.361 0.248 0.177
H: 0.361 0.252 0.677
H: 0.639 0.748 0.323
H: 0.639 0.752 0.823

The value obtained for the total magnetization is 3.0 Bohr magnetons per cell. As for the raw total energy: -5.10 eV per atom. Its energy above the most stable polymorph in this dataset is 222 meV/atom. Its symmetry is P2_1/c. The calculation puts the density of states at the Fermi level at 0.691 states/eV/atom.

Below is crystalline NdSm4Al5 at its relaxed geometry, with properties calculated at the PBE-GGA level.

a b c (Å): 3.691 3.691 18.421
angles (deg): 90.00 90.00 90.00
Fractional positions:
Nd: 0.000 0.000 0.000
Sm: 0.000 0.000 0.202
Sm: 0.000 0.000 0.401
Sm: 0.000 0.000 0.599
Sm: 0.000 0.000 0.798
Al: 0.500 0.500 0.103
Al: 0.500 0.500 0.301
Al: 0.500 0.500 0.500
Al: 0.500 0.500 0.699
Al: 0.500 0.500 0.897

The value obtained for the total magnetization is 0.0 Bohr magnetons per cell. As for the raw total energy: -4.61 eV per atom. Its symmetry is P4/mmm. The calculated formation energy comes out at -0.370 eV per atom. The calculation puts the density of states at the Fermi level at 0.320 states/eV/atom.

Below is crystalline Fe3MoPb at its relaxed geometry, with properties calculated at the PBE-GGA level.

a b c (Å): 4.583 4.583 4.583
angles (deg): 90.00 90.00 90.00
Fractional positions:
Fe: 0.000 0.000 0.500
Fe: 0.000 0.500 0.000
Fe: 0.500 0.000 0.000
Mo: 0.000 0.000 0.000
Pb: 0.500 0.500 0.500

The value obtained for the total magnetization is 5.7 Bohr magnetons per cell. As for the raw total energy: -6.68 eV per atom. Its symmetry is Pm-3m. The calculated formation energy comes out at 1.308 eV per atom. The calculation puts the density of states at the Fermi level at 1.313 states/eV/atom.

Below is crystalline LaBi3 at its relaxed geometry, with properties calculated at the PBE-GGA level.

a b c (Å): 4.641 6.418 4.825
angles (deg): 90.00 90.00 90.00
Fractional positions:
La: 0.000 0.000 0.000
Bi: 0.000 0.500 0.812
Bi: 0.500 0.000 0.483
Bi: 0.500 0.500 0.248

The value obtained for the total magnetization is 0.0 Bohr magnetons per cell. As for the raw total energy: -4.62 eV per atom. Its symmetry is Pmm2. The calculated formation energy comes out at -0.477 eV per atom. The calculation puts the density of states at the Fermi level at 0.157 states/eV/atom.